Below is a relaxed structure of TaCd3Ru, with properties calculated at the PBE-GGA level.

The structure in CIF format:
```
data_TaCd3Ru
_chemical_formula_sum 'Ta1 Cd3 Ru1'
_space_group_name_H-M_alt 'P 1'
_space_group_IT_number 1
_cell_length_a 4.992
_cell_length_b 4.992
_cell_length_c 4.992
_cell_angle_alpha 90.00
_cell_angle_beta 90.00
_cell_angle_gamma 90.00
loop_
_space_group_symop_operation_xyz
'x,y,z'
loop_
_atom_site_label
_atom_site_fract_x
_atom_site_fract_y
_atom_site_fract_z
_atom_site_occupancy
Cd1 0.000 0.500 0.000 1
Ru1 0.000 0.000 0.000 1
Cd2 0.500 0.000 0.000 1
Ta1 0.500 0.500 0.500 1
Cd3 0.000 0.000 0.500 1
```

excess energy over the best structure of this formula in the dataset = 0.000 eV per formula unit
calculated formation energy = 1.516 eV per atom
total energy = -3.2585 eV/atom